[1]
SrGeRuO5: relaxed, PBE.

a b c (Å): 5.7881 5.7881 7.2382
angles (deg): 103.93 103.93 106.53
Element x y z (fractional)
Sr 0.3362 0.6638 0.2500
Sr 0.6638 0.3362 0.7500
Ge 0.6899 0.3101 0.2500
Ge 0.3101 0.6899 0.7500
Ru 0.0000 0.0000 0.5000
Ru 0.0000 0.0000 0.0000
O 0.0425 0.9575 0.2500
O 0.9575 0.0425 0.7500
O 0.8980 0.3151 0.1038
O 0.1020 0.6849 0.8962
O 0.6849 0.1020 0.3962
O 0.3151 0.8980 0.6038
O 0.7541 0.6184 0.4208
O 0.2459 0.3816 0.5792
O 0.3816 0.2459 0.0792
O 0.6184 0.7541 0.9208

Summary:
* density of states at the Fermi level: 1.35 states/eV/f.u.
* formation energy from raw total energies: -1.783 eV per atom
* SG: C2/c, No. 15
* raw total energy: -6.829 eV/atom
* spin magnetization: 0.00 μB per formula unit



[2]
ThGeRuO: relaxed, PBE.

a b c (Å): 4.2071 4.2071 7.7958
angles (deg): 90.00 90.00 90.00
Element x y z (fractional)
Th 0.5000 0.0000 0.6574
Th 0.0000 0.5000 0.3426
Ge 0.0000 0.5000 0.8396
Ge 0.5000 0.0000 0.1604
Ru 0.5000 0.5000 0.0000
Ru 0.0000 0.0000 0.0000
O 0.0000 0.0000 0.5000
O 0.5000 0.5000 0.5000

Summary:
* density of states at the Fermi level: 1.93 states/eV/f.u.
* formation energy from raw total energies: -1.798 eV per atom
* SG: P4/nmm, No. 129
* raw total energy: -8.365 eV/atom
* spin magnetization: 0.00 μB per formula unit



[3]
Tl2GeRuO6: relaxed, PBE.

a b c (Å): 5.5672 5.5264 5.5734
angles (deg): 60.00 59.68 89.97
Each line ends with the local moment (μB).
Element x y z (fractional)
Tl 0.7521 0.2409 0.5112  -0.03
Tl 0.2479 0.7591 0.4888  -0.03
Ge 0.5000 0.5000 0.0000  0.00
Ru 0.0000 0.0000 0.0000  0.54
O 0.1960 0.1978 0.4935  0.01
O 0.7438 0.6491 0.0943  0.02
O 0.3072 0.8005 0.0050  0.01
O 0.6928 0.1995 0.9950  0.01
O 0.2562 0.3508 0.9057  0.02
O 0.8040 0.8022 0.5065  0.01

Summary:
* density of states at the Fermi level: 4.38 states/eV/f.u.
* formation energy from raw total energies: -0.836 eV per atom
* SG: P-1, No. 2
* raw total energy: -5.674 eV/atom
* spin magnetization: 0.60 μB per formula unit



[4]
TlGeRuO6: relaxed, PBE.

a b c (Å): 5.1512 5.1512 4.7974
angles (deg): 90.00 90.00 60.00
Each line ends with the local moment (μB).
Element x y z (fractional)
Tl 0.0000 0.0000 0.0000  0.03
Ge 0.3333 0.3333 0.5000  0.03
Ru 0.6666 0.6667 0.5000  1.71
O 0.0066 0.3660 0.2802  0.12
O 0.3660 0.0066 0.7198  0.12
O 0.6273 0.3660 0.7198  0.12
O 0.0066 0.6274 0.7198  0.12
O 0.3660 0.6274 0.2802  0.12
O 0.6273 0.0066 0.2802  0.12

Summary:
* density of states at the Fermi level: 3.73 states/eV/f.u.
* formation energy from raw total energies: -1.034 eV per atom
* SG: P312, No. 149
* raw total energy: -6.146 eV/atom
* spin magnetization: 2.73 μB per formula unit



[5]
UGeRuO: relaxed, PBE.

a b c (Å): 4.1132 4.1132 7.5323
angles (deg): 90.00 90.00 90.00
Each line ends with the local moment (μB).
Element x y z (fractional)
U 0.0000 0.5000 0.8502  2.03
U 0.5000 0.0000 0.1498  2.03
Ge 0.5000 0.0000 0.6741  -0.03
Ge 0.0000 0.5000 0.3259  -0.03
Ru 0.0000 0.0000 0.5000  -0.18
Ru 0.5000 0.5000 0.5000  -0.18
O 0.5000 0.5000 0.0000  -0.07
O 0.0000 0.0000 0.0000  -0.07

Summary:
* density of states at the Fermi level: 5.99 states/eV/f.u.
* formation energy from raw total energies: -1.411 eV per atom
* SG: P4/nmm, No. 129
* raw total energy: -8.946 eV/atom
* spin magnetization: 1.93 μB per formula unit



[6]
GeS2O8: relaxed, PBE.

a b c (Å): 7.3152 7.6156 8.2114
angles (deg): 66.00 63.55 61.30
Element x y z (fractional)
Ge 0.9759 0.7500 0.2500
Ge 0.0241 0.2500 0.7500
S 0.8635 0.8750 0.9532
S 0.3084 0.3750 0.4532
S 0.6916 0.6250 0.5468
S 0.1365 0.1250 0.0468
O 0.4601 0.7060 0.5914
O 0.0798 0.9517 0.2131
O 0.7408 0.9528 0.1328
O 0.2049 0.2146 0.5030
O 0.2592 0.0472 0.8672
O 0.9226 0.2854 0.9970
O 0.7951 0.7854 0.4970
O 0.1735 0.4528 0.6328
O 0.0774 0.7146 0.0030
O 0.7574 0.7940 0.9086
O 0.7554 0.4517 0.7131
O 0.2446 0.5483 0.2869
O 0.2426 0.2060 0.0914
O 0.8265 0.5472 0.3672
O 0.5399 0.2940 0.4086
O 0.9202 0.0483 0.7869

Summary:
* density of states at the Fermi level: 0.00 states/eV/f.u.
* formation energy from raw total energies: -1.232 eV per atom
* E above lowest polymorph: 0.00 eV/f.u.
* SG: C2/c, No. 15
* raw total energy: -6.008 eV/atom
* spin magnetization: 0.00 μB per formula unit



[7]
GeSO: relaxed, PBE.

a b c (Å): 5.8558 3.1946 3.1946
angles (deg): 120.00 90.00 90.00
Element x y z (fractional)
Ge 0.3060 0.6667 0.3333
S 0.5491 0.3333 0.6667
O 0.1449 0.0000 0.0000

Summary:
* density of states at the Fermi level: 0.08 states/eV/f.u.
* formation energy from raw total energies: -0.595 eV per atom
* E above lowest polymorph: 0.73 eV/f.u.
* SG: P3m1, No. 156
* raw total energy: -5.162 eV/atom
* spin magnetization: 0.00 μB per formula unit



[8]
GeSO3: relaxed, PBE.

a b c (Å): 3.7643 3.7643 3.7643
angles (deg): 90.00 90.00 90.00
Element x y z (fractional)
Ge 0.5000 0.5000 0.5000
S 0.0000 0.0000 0.0000
O 0.0000 0.5000 0.0000
O 0.0000 0.0000 0.5000
O 0.5000 0.0000 0.0000

Summary:
* density of states at the Fermi level: 0.00 states/eV/f.u.
* formation energy from raw total energies: -0.192 eV per atom
* SG: Pm-3m, No. 221
* raw total energy: -4.915 eV/atom
* spin magnetization: 0.00 μB per formula unit